# 1
## Ca8Sc (PBEsol)

Data for Ca8Sc after structural relaxation.

Cell: 5.340 8.435 8.435 Å, 84.25 71.55 71.55°
Positions (direct):
1 Sc 0.000 0.000 0.000
2 Ca 0.339 0.322 0.000
3 Ca 0.661 0.000 0.678
4 Ca 0.673 0.327 0.327
5 Ca 0.000 0.673 0.327
6 Ca 0.661 0.678 0.000
7 Ca 0.327 0.673 0.673
8 Ca 0.000 0.327 0.673
9 Ca 0.339 0.000 0.322

Output
Space group ... I4/mmm (139)
VASP energy ... -22.85 eV per cell
Magnetic moment ... 0.001 μB/cell
Volume ... 38.0 Å³/atom


# 2
## NbHgSb2I (PBEsol)

Data for NbHgSb2I after structural relaxation.

Cell: 5.327 5.327 5.723 Å, 90.00 90.00 90.00°
Last column: magnetic moment on the atom in μB.
Positions (direct):
1 Sb 0.500 0.000 0.000  -0.13
2 Hg 0.000 0.000 0.000  0.01
3 Nb 0.500 0.500 0.500  2.54
4 I 0.000 0.000 0.500  -0.10
5 Sb 0.000 0.500 0.000  -0.13

Output
Space group ... P4/mmm (123)
Formation energy without anion corrections ... 6.61 eV per formula unit
Magnetic moment ... 2.654 μB/cell
Volume ... 32.5 Å³/atom


# 3
## Li2ReSi (PBEsol)

Data for Li2ReSi after structural relaxation.

Cell: 2.688 2.688 8.740 Å, 90.00 90.00 108.57°
Positions (direct):
1 Li 0.000 0.000 0.030
2 Si 0.500 0.500 0.264
3 Re 0.000 0.000 0.479
4 Li 0.500 0.500 0.727

Output
Space group ... Cmm2 (35)
Formation energy without anion corrections ... 0.27 eV per formula unit
Magnetic moment ... 0.000 μB/cell
Volume ... 15.0 Å³/atom


# 4
## ZnH2Se2O8 (PBEsol)

Data for ZnH2Se2O8 after structural relaxation.

Cell: 5.076 7.423 8.594 Å, 90.00 90.00 98.24°
Positions (direct):
1 Zn 0.000 0.000 0.000
2 O 0.221 0.183 0.858
3 O 0.818 0.475 0.354
4 O 0.279 0.317 0.358
5 O 0.299 0.608 0.083
6 O 0.318 0.975 0.146
7 O 0.415 0.730 0.369
8 O 0.201 0.892 0.583
9 O 0.721 0.683 0.642
10 O 0.182 0.525 0.646
11 O 0.682 0.025 0.854
12 H 0.786 0.341 0.015
13 Zn 0.500 0.500 0.500
14 O 0.779 0.817 0.142
15 O 0.915 0.230 0.131
16 O 0.799 0.108 0.417
17 Se 0.459 0.793 0.183
18 Se 0.541 0.207 0.817
19 H 0.714 0.159 0.515
20 Se 0.959 0.293 0.317
21 H 0.286 0.841 0.485
22 O 0.085 0.770 0.869
23 O 0.701 0.392 0.917
24 H 0.214 0.659 0.985
25 O 0.585 0.270 0.631
26 Se 0.041 0.707 0.683

Output
Space group ... P2_1/c (14)
VASP energy ... -136.89 eV per cell
Magnetic moment ... 0.000 μB/cell
Volume ... 12.3 Å³/atom


# 5
## LaNb2CuBrO7 (PBEsol)

Data for LaNb2CuBrO7 after structural relaxation.

Cell: 7.800 7.834 11.683 Å, 90.00 90.00 90.00°
Last column: magnetic moment on the atom in μB.
Positions (direct):
1 O 0.781 0.502 0.343  0.06
2 O 0.500 0.500 0.819  0.00
3 O 0.000 0.500 0.867  0.00
4 O 0.296 0.500 0.000  0.01
5 O 0.219 0.498 0.343  0.06
6 O 0.719 0.002 0.343  0.06
7 Nb 0.752 0.501 0.810  0.01
8 Cu 0.274 0.001 0.500  0.49
9 O 0.500 0.000 0.867  0.00
10 O 0.750 0.250 0.151  0.00
11 O 0.750 0.750 0.151  0.00
12 O 0.781 0.502 0.657  0.06
13 O 0.000 0.500 0.133  0.00
14 O 0.750 0.250 0.849  0.00
15 O 0.500 0.000 0.133  0.00
16 Cu 0.774 0.499 0.500  0.49
17 O 0.250 0.750 0.849  0.00
18 O 0.250 0.750 0.151  0.00
19 O 0.796 0.000 0.000  0.01
20 Br 0.047 0.769 0.500  0.23
21 Nb 0.748 0.001 0.190  0.01
22 La 0.000 0.238 0.000  0.00
23 Nb 0.752 0.501 0.190  0.01
24 O 0.281 0.998 0.657  0.06
25 Nb 0.748 0.001 0.810  0.01
26 O 0.204 0.000 0.000  0.01
27 O 0.500 0.500 0.181  0.00
28 Br 0.547 0.731 0.500  0.23
29 O 0.250 0.250 0.849  0.00
30 La 0.500 0.262 0.000  0.00
31 Nb 0.248 0.499 0.810  0.01
32 Br 0.453 0.269 0.500  0.23
33 O 0.000 0.000 0.819  0.00
34 Cu 0.726 0.999 0.500  0.49
35 Nb 0.252 0.999 0.810  0.01
36 O 0.750 0.750 0.849  0.00
37 O 0.250 0.250 0.151  0.00
38 La 0.000 0.762 0.000  0.00
39 Nb 0.252 0.999 0.190  0.01
40 Cu 0.226 0.501 0.500  0.49
41 Nb 0.248 0.499 0.190  0.01
42 O 0.219 0.498 0.657  0.06
43 La 0.500 0.738 0.000  0.00
44 O 0.000 0.000 0.181  0.00
45 Br 0.953 0.231 0.500  0.23
46 O 0.704 0.500 0.000  0.01
47 O 0.719 0.002 0.657  0.06
48 O 0.281 0.998 0.343  0.06

Output
Space group ... Pbam (55)
Formation energy without anion corrections ... -28.00 eV per formula unit
Magnetic moment ... 3.757 μB/cell
Volume ... 14.9 Å³/atom


# 6
## BeOsW2 (PBEsol)

Data for BeOsW2 after structural relaxation.

Cell: 4.285 4.285 4.285 Å, 60.00 60.00 60.00°
Positions (direct):
1 W 0.750 0.750 0.750
2 Os 0.250 0.250 0.250
3 Be 0.500 0.500 0.500
4 W 0.000 0.000 0.000

Output
Space group ... F-43m (216)
VASP energy ... -42.91 eV per cell
Magnetic moment ... 0.000 μB/cell
Volume ... 13.9 Å³/atom